[1]
First-principles (PBE) data for a relaxed structure of NaPmWN3, as listed in Alexandria via LeMat-Bulk.

Cell and atoms, written as extended XYZ:
```
12
Lattice="3.9060 0.0000 0.0000 -1.9530 6.8842 0.0958 0.0000 -2.0659 6.8959" Properties=species:S:1:pos:R:3 pbc="T T T"
Na 0.0000 2.9085 6.4413
Na 1.9530 1.9097 0.5504
Pm 1.9530 1.0200 4.2087
Pm 0.0000 3.7982 2.7830
W 0.0000 -0.5430 2.0747
W 1.9530 5.3612 4.9170
N 1.9530 4.6047 1.3358
N 1.9530 3.3820 4.6094
N 1.9530 -0.5240 2.2373
N 0.0000 1.4362 2.3823
N 0.0000 5.3422 4.7543
N 0.0000 0.2135 5.6559
```

space group = No. 12
raw formation energy = -575 meV/atom
calculated volume = 186.2 Å³/cell

[2]
First-principles (PBE) data for a relaxed structure of NaPm2WN4, as listed in Alexandria via LeMat-Bulk.

Cell and atoms, written as extended XYZ:
```
8
Lattice="-4.6086 -0.1500 2.9894 -2.1884 -3.5765 -3.5523 5.1634 -1.7393 2.8213" Properties=species:S:1:pos:R:3 pbc="T T T"
Na 0.0003 -0.0005 0.0003
Pm -1.4218 -1.8766 2.7649
Pm -0.2117 -3.5898 -0.5060
W -3.3985 -1.8633 -0.2814
N -0.0160 -3.5483 1.8526
N -2.5080 -3.3732 -1.0391
N -3.4927 -1.9791 1.6225
N 2.7498 -2.0320 2.0817
```

space group = No. 121
raw formation energy = -880 meV/atom
calculated volume = 143.4 Å³/cell

[3]
First-principles (PBE) data for a relaxed structure of NaPr3N, as listed in Alexandria via LeMat-Bulk.

Cell and atoms, written as extended XYZ:
```
5
Lattice="-1.4052 -4.9948 -0.1272 4.8345 -1.3926 1.2752 -1.2614 0.2267 5.0295" Properties=species:S:1:pos:R:3 pbc="T T T"
Pr 2.4173 -0.6963 0.6376
Pr -0.6307 0.1134 2.5148
Pr -0.7026 -2.4974 -0.0636
Na 1.0840 -3.0803 3.0888
N 0.0000 0.0000 0.0000
```

space group = No. 221
raw formation energy = -324 meV/atom
calculated volume = 139.8 Å³/cell

[4]
First-principles (PBE) data for a relaxed structure of NaPrPu4N8, as listed in Alexandria via LeMat-Bulk.

Cell and atoms, written as extended XYZ:
```
14
Lattice="6.8942 0.0000 0.0000 3.4471 5.9705 0.0000 3.4471 1.9902 5.3723" Properties=species:S:1:pos:R:3 pbc="T T T"
Na 10.3413 5.9705 0.0159
Pr 6.8942 3.9804 4.5461
Pu 6.8942 3.9804 0.8384
Pu 3.4471 3.9719 2.6873
Pu 5.1633 0.9993 2.6873
Pu 1.7309 0.9993 2.6873
N 6.8942 6.2113 3.7181
N 8.8263 2.8649 3.7181
N 4.9621 2.8649 3.7181
N 3.4471 1.9902 1.6018
N 6.8942 1.8691 1.6141
N 5.0658 5.0360 1.6141
N 8.7226 5.0360 1.6141
N 10.3413 5.9705 3.8593
```

space group = No. 160
raw formation energy = -870 meV/atom
calculated volume = 221.1 Å³/cell

[5]
First-principles (PBE) data for a relaxed structure of Na2PrReN4, as listed in Alexandria via LeMat-Bulk.

Cell and atoms, written as extended XYZ:
```
8
Lattice="-5.6296 -2.4486 -0.4127 -1.2844 -5.0371 1.5395 -3.8409 0.4597 3.7986" Properties=species:S:1:pos:R:3 pbc="T T T"
Na -4.7384 -4.8872 1.8979
Na -6.0166 -2.1388 3.0274
Pr 0.0000 0.0000 0.0000
Re -2.5627 -2.2887 2.6691
N -7.6090 -3.7309 3.6793
N -4.0323 -1.3893 2.0293
N -6.8914 -4.9243 0.9715
N -2.9772 -4.0077 3.1707
```

space group = No. 121
raw formation energy = -504 meV/atom
calculated volume = 122.5 Å³/cell

[6]
First-principles (PBE) data for a relaxed structure of Na2PrTc2N4, as listed in Alexandria via LeMat-Bulk.

Cell and atoms, written as extended XYZ:
```
9
Lattice="-1.3405 -1.8528 -2.6180 4.2109 -4.9115 3.6278 -7.7477 3.9184 1.1938" Properties=species:S:1:pos:R:3 pbc="T T T"
Na -1.6233 -3.3289 0.8793
Na -3.2538 0.4830 1.3242
Pr 0.0000 0.0000 0.0000
Tc 1.8600 -3.7597 1.7085
Tc -6.7371 0.9137 0.4950
N -5.5733 -0.7130 1.0504
N 0.6961 -2.1329 1.1531
N -2.3325 -0.3709 -0.8511
N -2.5447 -2.4750 3.0546
```

space group = No. 12
raw formation energy = -336 meV/atom
calculated volume = 144.7 Å³/cell